First-principles (PBE) data for a geometry-optimized Cd2Os structure, as listed in Alexandria via LeMat-Bulk.

```
6
Lattice="5.418 -1.463 0.000 5.418 1.463 0.000 -1.754 0.000 6.936" Properties=species:S:1:pos:R:3 pbc="T T T"
Cd 0.000 0.000 0.000
Cd -0.768 0.000 4.164
Cd 2.126 0.000 4.694
Cd 6.451 0.000 2.325
Os 3.484 0.000 1.748
Os 6.183 0.000 6.785
```

Values from the calculation:
Formation enthalpy at 0 K (eV/atom): 0.44
Volume (Å³ per cell): 110
Magnetic moment (μB/f.u.): 0.0